Entry 1:
PBE-GGA Ca3TlSn, relaxed; raw total energy = -2.63 eV per atom
1.0
5.9561 0.0000 0.0000
0.0000 5.9561 0.0000
0.0000 0.0000 5.9561
Ca Sn Tl
3 1 1
direct
0.0000 0.5000 0.0000
0.0000 0.0000 0.5000
0.5000 0.0000 0.0000
0.0000 0.0000 0.0000
0.5000 0.5000 0.5000

Entry 2:
PBE-GGA ErSe4, relaxed; raw formation energy = -0.011 eV/atom; raw total energy = -3.71 eV per atom
1.0
-3.0533 3.6647 2.6011
0.5427 -2.8210 4.6115
4.4610 2.8514 1.2193
Se Er
4 1
direct
0.0000 0.5000 0.5000
0.5000 0.0000 0.5000
0.5000 0.5000 0.0000
0.0000 0.0000 0.0000
0.5000 0.5000 0.5000

Entry 3:
PBE-GGA Li3GaPt, relaxed; raw total energy = -2.99 eV per atom
1.0
4.7091 0.0000 0.0000
0.0000 4.7091 0.0000
0.0000 0.0000 4.7091
Li Pt Ga
3 1 1
direct
0.0000 0.0000 0.5000
0.0000 0.5000 0.0000
0.5000 0.0000 0.0000
0.0000 0.0000 0.0000
0.5000 0.5000 0.5000

Entry 4:
PBE-GGA AcTiAu2, relaxed; raw total energy = -5.15 eV per atom
1.0
4.6123 0.0000 0.0000
2.3061 3.9944 0.0000
2.3061 1.3315 5.4783
Au Ti Ac
2 1 1
direct
0.7052 0.7052 0.8843
0.2948 0.2948 0.1157
0.0000 0.0000 0.0000
0.5000 0.5000 0.5000

Entry 5:
PBE-GGA Sn2PtI, relaxed; raw formation energy = -0.132 eV/atom; raw total energy = -4.03 eV per atom
1.0
6.5658 0.0000 0.0000
0.0000 6.5658 0.0000
3.2829 3.2829 6.8852
I Sn Pt
2 4 2
direct
0.5000 0.5000 0.0000
0.2500 0.7500 0.5000
0.3750 0.2754 0.7500
0.8750 0.9746 0.7500
0.7246 0.1250 0.2500
0.0254 0.6250 0.2500
0.7500 0.2500 0.5000
0.0000 0.0000 0.0000

Entry 6:
PBE-GGA MnSbPb, relaxed; raw formation energy = 0.202 eV/atom; raw total energy = -5.46 eV per atom
1.0
-3.2395 2.2663 -5.2335
-6.2783 1.0571 -1.5767
4.9199 0.6192 4.2932
Mn Sb Pb
1 1 1
direct
0.0191 0.0191 0.0000
0.6241 0.6241 0.0000
0.3568 0.3568 0.0000

Entry 7:
PBE-GGA CuC, relaxed; raw total energy = -5.91 eV per atom
1.0
0.0973 -3.9728 -2.8461
2.4092 -2.8957 -3.1151
1.9258 -3.4067 2.9097
Cu C
3 3
direct
0.2267 0.2267 0.4762
0.9758 0.9758 0.4106
0.7013 0.7013 0.9662
0.8994 0.8994 0.0564
0.4622 0.4622 0.9276
0.5680 0.5680 0.6632

Entry 8:
PBE-GGA LiDy5Zn6, relaxed; raw total energy = -3.01 eV per atom
1.0
4.7927 -0.0061 -1.3448
-3.5962 6.9621 -3.6236
-0.1850 -1.0246 8.5703
Li Dy Zn
1 5 6
direct
0.0000 0.0000 0.0000
0.5000 0.1653 0.8347
0.0000 0.3318 0.6682
0.0000 0.6682 0.3318
0.5000 0.8347 0.1653
0.5000 0.5000 0.5000
0.2377 0.3967 0.0784
0.7623 0.6033 0.9216
0.2377 0.0784 0.3967
0.2623 0.7618 0.7618
0.7377 0.2382 0.2382
0.7623 0.9216 0.6033

Entry 9:
PBE-GGA Sc2H2S, relaxed; raw total energy = -5.67 eV per atom
1.0
3.2869 0.0000 0.0000
0.0000 3.2869 0.0000
1.6435 1.6435 5.5827
H S Sc
2 1 2
direct
0.2500 0.7500 0.5000
0.7500 0.2500 0.5000
0.0000 0.0000 0.0000
0.6361 0.6361 0.7278
0.3639 0.3639 0.2722

Entry 10:
PBE-GGA TlCdAgSn, relaxed; raw total energy = -2.42 eV per atom
1.0
-4.3071 2.1833 -1.9157
-4.5910 -0.8923 2.2614
-2.3802 3.7942 2.6319
Tl Sn Cd Ag
1 1 1 1
direct
0.2500 0.2500 0.2500
0.7500 0.7500 0.7500
0.5000 0.5000 0.5000
0.0000 0.0000 0.0000

Entry 11:
PBE-GGA LaZnOs2, relaxed; raw total energy = -6.67 eV per atom
1.0
10.0194 -0.0268 -0.0157
9.6063 2.8472 -0.0157
9.6063 1.3805 2.4902
Os Zn La
2 1 1
direct
0.2529 0.2529 0.2529
0.9868 0.9868 0.9868
0.5125 0.5125 0.5125
0.7478 0.7478 0.7478

Entry 12:
PBE-GGA LaNi3Mo, relaxed; raw total energy = -6.22 eV per atom
1.0
4.6050 0.0000 0.0000
0.0000 4.6050 0.0000
0.0000 0.0000 4.6050
Ni La Mo
3 1 1
direct
0.5000 0.0000 0.0000
0.0000 0.0000 0.5000
0.0000 0.5000 0.0000
0.5000 0.5000 0.5000
0.0000 0.0000 0.0000

Entry 13:
PBE-GGA Y2AgRh2, relaxed; raw total energy = -6.41 eV per atom
1.0
3.8143 0.0000 0.0000
0.0000 3.8143 0.0000
1.9072 1.9072 7.7867
Y Rh Ag
2 2 1
direct
0.3831 0.3831 0.2339
0.6169 0.6169 0.7661
0.7500 0.2500 0.5000
0.2500 0.7500 0.5000
0.0000 0.0000 0.0000

Entry 14:
PBE-GGA CrFe2Se4, relaxed; raw formation energy = -0.288 eV/atom; raw total energy = -6.07 eV per atom
1.0
1.3022 -1.0565 -6.3676
4.4385 -0.7910 -4.7992
1.3339 -5.8367 -1.6796
Se Fe Cr
4 2 1
direct
0.3865 0.3865 0.9473
0.8661 0.8661 0.4685
0.6122 0.6122 0.0580
0.1341 0.1341 0.5254
0.7583 0.7583 0.2081
0.5012 0.5012 0.5034
0.2416 0.2416 0.7894

Entry 15:
PBE-GGA Tl2ReCl, relaxed; raw formation energy = 0.672 eV/atom; raw total energy = -4.09 eV per atom
1.0
-0.8900 -2.7702 -1.5394
1.9530 -2.6469 0.1246
-4.8277 -1.2477 8.3407
Re Tl Cl
1 2 1
direct
0.7500 0.7500 0.7500
0.1538 0.1538 0.9757
0.3462 0.3462 0.5243
0.2500 0.2500 0.2500

Entry 16:
PBE-GGA Tm3UPt12, relaxed; raw total energy = -7.10 eV per atom
1.0
-0.4358 -1.0899 -3.9373
-3.4139 -2.0778 0.9531
-8.9546 13.4588 -2.7343
Pt Tm U
12 3 1
direct
0.5000 0.5000 0.7496
0.0000 0.5000 0.6242
0.5000 0.0000 0.3758
0.5000 0.5000 0.5000
0.0000 0.5000 0.1238
0.0000 0.5000 0.3758
0.5000 0.0000 0.8762
0.5000 0.5000 0.2504
0.5000 0.5000 0.0000
0.5000 0.0000 0.1238
0.0000 0.5000 0.8762
0.5000 0.0000 0.6242
0.0000 0.0000 0.7460
0.0000 0.0000 0.5000
0.0000 0.0000 0.2540
0.0000 0.0000 0.0000

Entry 17:
PBE-GGA CaTl3, relaxed; raw total energy = -2.50 eV per atom
1.0
-5.6738 -2.3593 -0.3777
1.1528 -3.6703 5.6085
-5.8567 12.5748 9.4329
Ca Tl
6 18
direct
0.3399 0.7500 0.5863
0.6601 0.2500 0.4137
0.6601 0.2500 0.0863
0.0427 0.2500 0.7500
0.3399 0.7500 0.9137
0.9573 0.7500 0.2500
0.0029 0.7500 0.7500
0.6565 0.7500 0.4188
0.5323 0.0029 0.7500
0.8407 0.0015 0.5836
0.6565 0.7500 0.0812
0.8407 0.0015 0.9164
0.3435 0.2500 0.9188
0.1593 0.5015 0.4164
0.5323 0.4971 0.7500
0.4677 0.5029 0.2500
0.1593 0.5015 0.0836
0.1593 0.9985 0.0836
0.9971 0.2500 0.2500
0.1593 0.9985 0.4164
0.3435 0.2500 0.5812
0.8407 0.4985 0.5836
0.4677 0.9971 0.2500
0.8407 0.4985 0.9164

Entry 18:
PBE-GGA Zr2VPbC, relaxed; raw total energy = -8.13 eV per atom
1.0
4.6976 0.0000 0.0000
0.0000 4.6976 0.0000
0.0000 0.0000 3.9973
V Pb C Zr
1 1 1 2
direct
0.0000 0.0000 0.5000
0.5000 0.5000 0.5000
0.0000 0.0000 0.0000
0.0000 0.5000 0.0000
0.5000 0.0000 0.0000

Entry 19:
PBE-GGA CeDyTeAs, relaxed; raw formation energy = -1.401 eV/atom; raw total energy = -5.98 eV per atom
1.0
-0.2496 0.3621 4.1705
-1.5905 -3.3777 -1.9104
7.2456 -2.5918 -1.4496
As Te Dy Ce
1 1 1 1
direct
0.3003 0.5481 0.8636
0.9724 0.3842 0.3718
0.4919 0.1439 0.6510
0.1133 0.9546 0.0832

Entry 20:
PBE-GGA Tb8In2Ga, relaxed; raw total energy = -4.40 eV per atom
1.0
-1.4380 -1.0026 4.8803
-4.9387 -4.0591 -2.2891
8.0662 -5.2307 -1.4529
Tb In Ga
8 2 1
direct
0.4086 0.5409 0.8171
0.5914 0.4591 0.1829
0.2071 0.3007 0.4142
0.3468 0.0246 0.6937
0.0157 0.7697 0.0314
0.7929 0.6993 0.5858
0.6532 0.9754 0.3063
0.9843 0.2303 0.9686
0.1834 0.7431 0.3669
0.8166 0.2569 0.6331
0.5000 0.0000 0.0000